[1]
# LaPa2Se5

A geometry-optimized LaPa2Se5 structure (PBE, Alexandria via LeMat-Bulk).

Cell: 7.7110 7.7110 8.6909 Å, 116.34 116.34 90.00°
Atoms (fractional coordinates):
La  0.7500  0.7500  0.5000
La  0.2500  0.2500  0.5000
Pa  0.1490  0.3510  0.0000
Pa  0.6490  0.1490  0.0000
Pa  0.3510  0.8510  0.0000
Pa  0.8510  0.6490  0.0000
Se  0.5123  0.6998  0.7122
Se  0.8002  0.9877  0.2878
Se  0.0000  0.0000  0.0000
Se  0.5000  0.5000  0.0000
Se  0.1998  0.0123  0.7122
Se  0.6998  0.1998  0.7122
Se  0.0123  0.5123  0.7122
Se  0.3001  0.8002  0.2878
Se  0.9877  0.4877  0.2878
Se  0.4877  0.3001  0.2878

## Properties
Space group: I4/mcm, No. 140
Total moment (μB/f.u.): 3.0

***

[2]
# LaPaSe4

A geometry-optimized LaPaSe4 structure (PBE, Alexandria via LeMat-Bulk).

Cell: 6.9061 6.9059 8.5299 Å, 113.49 113.88 90.00°
Atoms (fractional coordinates):
La  0.2500  0.7500  0.0000
La  0.7500  0.2500  0.0000
Pa  0.5000  0.5000  0.5000
Pa  0.0000  0.0000  0.5000
Se  0.1338  0.1321  0.2659
Se  0.1321  0.6321  0.2659
Se  0.6320  0.1323  0.2661
Se  0.6341  0.6323  0.2661
Se  0.3680  0.8677  0.7339
Se  0.3659  0.3677  0.7339
Se  0.8662  0.8679  0.7341
Se  0.8679  0.3679  0.7341

## Properties
Space group: C2/m, No. 12
E above lowest polymorph (meV per atom): 0.0
Total moment (μB/f.u.): 0.2

***

[3]
# La2Pa3Se8

A geometry-optimized La2Pa3Se8 structure (PBE, Alexandria via LeMat-Bulk).

Cell: 6.9129 8.2888 8.6288 Å, 118.70 105.40 90.00°
Atoms (fractional coordinates):
La  0.3310  0.2601  0.5203
La  0.6690  0.7399  0.4797
Pa  0.5000  0.0000  0.0000
Pa  0.0000  0.2438  0.0000
Pa  0.0000  0.7562  0.0000
Se  0.9198  0.6092  0.2184
Se  0.0802  0.3908  0.7816
Se  0.9138  0.1221  0.2442
Se  0.0862  0.8779  0.7558
Se  0.5878  0.6417  0.7559
Se  0.5878  0.1142  0.7559
Se  0.4122  0.8858  0.2441
Se  0.4122  0.3583  0.2441

## Properties
Space group: C2/m, No. 12
E above lowest polymorph (meV per atom): 0.0
Total moment (μB/f.u.): 5.0

***

no.,total DFT energy (no corrections) (eV for the cell shown)
1,-107.72
2,-75.76
3,-86.03